CaNiCl, optimized geometry, DFT GGA-PBE; SG = I4mm; DFT total energy = -3.676 eV/atom
1.0
-4.2706 -3.9258 -3.4032
-3.9086 -5.4525 -0.4796
-3.0037 1.0615 0.9278
Ni Ca Cl
1 1 1
direct
0.6425 0.6425 0.3575
0.9904 0.9904 0.0096
0.3671 0.3671 0.6329



CaNiCl, optimized geometry, DFT GGA-PBE; SG = F-43m; DFT total energy = -3.430 eV/atom
1.0
-2.2580 3.8815 0.4704
-2.0288 0.9713 3.9149
1.6487 3.2642 2.6481
Ni Ca Cl
1 1 1
direct
0.0000 0.0000 0.0000
0.5000 0.5000 0.5000
0.2500 0.2500 0.2500



CaNiCl6, optimized geometry, DFT GGA-PBE; SG = R-3; DFT total energy = -3.368 eV/atom
1.0
6.2030 0.0087 0.0089
3.0953 5.3758 0.0120
3.0921 1.7863 5.7270
Ca Ni Cl
1 1 6
direct
0.5000 0.5000 0.5000
0.0000 0.0000 0.0000
0.0423 0.3874 0.7735
0.7968 0.0423 0.7735
0.6126 0.2032 0.2265
0.2032 0.9577 0.2265
0.9577 0.6126 0.2265
0.3874 0.7968 0.7735



CaNiCl, optimized geometry, DFT GGA-PBE; SG = P-6m2; DFT total energy = -3.685 eV/atom
1.0
-3.5245 0.9276 2.0333
-0.1685 -1.9580 -3.6816
0.1406 -3.3063 1.7520
Ni Ca Cl
1 1 1
direct
0.3333 0.6667 0.5004
0.0000 0.0000 0.0000
0.6667 0.3333 0.4996



CaNiCl3, optimized geometry, DFT GGA-PBE; SG = Pm-3m; DFT total energy = -3.452 eV/atom; excess energy over the best structure of this formula in the dataset = 33.8 kJ per mole of atoms
1.0
-3.1041 -3.8774 1.8402
4.2911 -2.7593 1.4243
-0.0840 2.3255 4.7582
Ni Ca Cl
1 1 3
direct
0.5000 0.5000 0.5000
0.0000 0.0000 0.0000
0.0000 0.5000 0.0000
0.0000 0.0000 0.5000
0.5000 0.0000 0.0000



Ca4NiCl, optimized geometry, DFT GGA-PBE; SG = F-43m; DFT total energy = -2.177 eV/atom
1.0
0.0000 4.7544 4.7544
4.7544 0.0000 4.7544
4.7544 4.7544 0.0000
Ca Ni Cl
4 1 1
direct
0.8780 0.3740 0.3740
0.3740 0.3740 0.8780
0.3740 0.8780 0.3740
0.3740 0.3740 0.3740
0.0000 0.0000 0.0000
0.7500 0.7500 0.7500



CaNi2OsCl, optimized geometry, DFT GGA-PBE; SG = P4/mmm; DFT total energy = -4.879 eV/atom
1.0
4.5700 0.0000 0.0000
0.0000 4.8866 0.0000
0.0000 0.0000 4.5700
Ni Ca Os Cl
2 1 1 1
direct
0.0000 0.0000 0.5000
0.5000 0.0000 0.0000
0.5000 0.5000 0.5000
0.0000 0.0000 0.0000
0.0000 0.5000 0.0000



CaNiPCl2, optimized geometry, DFT GGA-PBE; SG = P4/mmm; DFT total energy = -3.293 eV/atom; excess energy over the best structure of this formula in the dataset = 70.2 kJ per mole of atoms
1.0
-1.3239 3.2272 -3.7527
1.6797 -3.3611 -3.4830
-5.3635 -2.4542 -0.2184
Ni Ca P Cl
1 1 1 2
direct
0.5000 0.5000 0.5000
0.0000 0.0000 0.0000
0.0000 0.0000 0.5000
0.0000 0.5000 0.0000
0.5000 0.0000 0.0000